Material: V3ReW6
Method: DFT, GGA-PBE
State: optimized geometry

Geometry as POSCAR:
```
V3ReW6
1.0
-0.1633 1.2896 -2.2579
-9.5204 -4.2615 -1.7456
-3.6952 9.3231 5.5923
W V Re
12 6 2
Direct
0.2500 0.5237 0.7024 W
0.7500 0.4763 0.2976 W
0.7500 0.1266 0.5104 W
0.2500 0.2272 0.3110 W
0.7500 0.7728 0.6890 W
0.7500 0.4235 0.9008 W
0.2500 0.0223 0.7065 W
0.7500 0.1713 0.9017 W
0.2500 0.8734 0.4896 W
0.2500 0.5765 0.0992 W
0.2500 0.8287 0.0983 W
0.7500 0.9777 0.2935 W
0.2500 0.2751 0.7025 V
0.2500 0.0743 0.0978 V
0.7500 0.7249 0.2975 V
0.2500 0.6192 0.4923 V
0.7500 0.9257 0.9022 V
0.7500 0.3808 0.5077 V
0.7500 0.6810 0.8996 Re
0.2500 0.3190 0.1004 Re
```

Values from the calculation:
SG: No. 11

Material: V5ReW2
Method: DFT, GGA-PBE
State: optimized geometry

Geometry as POSCAR:
```
V5ReW2
1.0
-2.5839 -1.2347 3.2353
-2.0828 -2.6708 -2.6827
6.2315 -2.5053 1.1356
W V Re
2 5 1
Direct
0.2523 0.2523 0.5045 W
0.7477 0.7477 0.4955 W
0.6227 0.1227 0.2453 V
0.5000 0.5000 0.0000 V
0.3773 0.8773 0.7547 V
0.8773 0.3773 0.7547 V
0.1227 0.6227 0.2453 V
0.0000 0.0000 0.0000 Re
```

Values from the calculation:
SG: No. 139

Material: VReW
Method: DFT, GGA-PBE
State: optimized geometry

Geometry as POSCAR:
```
VReW
1.0
5.3523 0.0000 0.0105
0.0000 4.3670 0.0000
-5.3005 0.0000 7.6089
V Re W
4 4 4
Direct
0.7342 0.5000 0.5312 V
0.2344 0.0000 0.3643 V
0.2344 0.5000 0.8643 V
0.7342 0.0000 0.0312 V
0.7336 0.0000 0.3653 Re
0.2350 0.0000 0.7020 Re
0.2350 0.5000 0.2020 Re
0.7336 0.5000 0.8653 Re
0.2328 0.0000 0.0311 W
0.7314 0.5000 0.1950 W
0.7314 0.0000 0.6950 W
0.2328 0.5000 0.5311 W
```

Values from the calculation:
Energy above the most stable polymorph in this dataset, meV per atom: 16.5
SG: No. 8

Material: V5ReW
Method: DFT, GGA-PBE
State: optimized geometry

Geometry as POSCAR:
```
V5ReW
1.0
0.1173 -2.7335 -3.2253
3.2076 2.1594 -1.7136
3.9066 -3.4021 3.0258
V Re W
5 1 1
Direct
0.0000 0.5000 0.2489 V
0.0000 0.5000 0.7511 V
0.5000 0.0000 0.7511 V
0.0000 0.0000 0.5000 V
0.5000 0.0000 0.2489 V
0.5000 0.5000 0.5000 Re
0.0000 0.0000 0.0000 W
```

Values from the calculation:
Energy above the most stable polymorph in this dataset, meV per atom: 0.0
SG: No. 123

Material: V4Re3W
Method: DFT, GGA-PBE
State: optimized geometry

Geometry as POSCAR:
```
V4Re3W
1.0
3.0464 0.0000 0.0000
0.0000 4.3146 0.0000
0.0000 0.0000 8.6373
V W Re
4 1 3
Direct
0.0000 0.5000 0.2525 V
0.0000 0.5000 0.7475 V
0.0000 0.0000 0.5000 V
0.0000 0.0000 0.0000 V
0.5000 0.5000 0.0000 W
0.5000 0.0000 0.7485 Re
0.5000 0.5000 0.5000 Re
0.5000 0.0000 0.2515 Re
```

Values from the calculation:
Energy above the most stable polymorph in this dataset, meV per atom: 0.0
SG: No. 47

Material: VReW2
Method: DFT, GGA-PBE
State: optimized geometry

Geometry as POSCAR:
```
VReW2
1.0
-3.4429 -0.1805 -2.7435
1.4260 -2.2474 -1.6417
-3.7557 -6.1203 5.1159
Re V W
2 2 4
Direct
0.2500 0.2500 0.7500 Re
0.7500 0.7500 0.2500 Re
0.2500 0.2500 0.2500 V
0.7500 0.7500 0.7500 V
0.7500 0.2500 0.5017 W
0.2500 0.7500 0.4983 W
0.7500 0.2500 0.9983 W
0.2500 0.7500 0.0017 W
```

Values from the calculation:
Energy above the most stable polymorph in this dataset, meV per atom: 0.6
SG: No. 71

Material: V5Re2W4
Method: DFT, GGA-PBE
State: optimized geometry

Geometry as POSCAR:
```
V5Re2W4
1.0
-0.4848 -2.3050 -1.0344
5.8488 -2.4776 2.7799
-4.6755 -1.2626 8.2040
W Re V
4 2 5
Direct
0.9549 0.6459 0.9098 W
0.0451 0.3541 0.0902 W
0.7284 0.8180 0.4568 W
0.2716 0.1820 0.5432 W
0.4090 0.2806 0.8180 Re
0.5910 0.7194 0.1820 Re
0.1333 0.0770 0.2666 V
0.8667 0.9230 0.7334 V
0.1837 0.4640 0.3674 V
0.5000 0.0000 0.0000 V
0.8163 0.5360 0.6326 V
```

Values from the calculation:
SG: No. 12

Material: VRe2W
Method: DFT, GGA-PBE
State: optimized geometry

Geometry as POSCAR:
```
VRe2W
1.0
3.6570 0.0000 0.0000
0.0000 3.6570 0.0000
1.8285 1.8285 9.8150
W Re V
2 4 2
Direct
0.0000 0.0000 0.0000 W
0.7500 0.2500 0.5000 W
0.5931 0.1250 0.2500 Re
0.8750 0.8431 0.7500 Re
0.3750 0.4069 0.7500 Re
0.1569 0.6250 0.2500 Re
0.5000 0.5000 0.0000 V
0.2500 0.7500 0.5000 V
```

Values from the calculation:
SG: No. 122

Material: V4ReW3
Method: DFT, GGA-PBE
State: optimized geometry

Geometry as POSCAR:
```
V4ReW3
1.0
2.5866 0.0000 0.0000
0.0000 8.8665 0.0000
-1.2933 -4.4332 5.2845
V W Re
4 3 1
Direct
0.3742 0.1261 0.7483 V
0.6258 0.3777 0.2517 V
0.3742 0.6223 0.7483 V
0.6258 0.8739 0.2517 V
0.0000 0.5000 0.0000 W
0.7536 0.7536 0.5072 W
0.2464 0.2464 0.4928 W
0.5000 0.0000 0.0000 Re
```

Values from the calculation:
Energy above the most stable polymorph in this dataset, meV per atom: 397.6
SG: No. 71

Material: VReW
Method: DFT, GGA-PBE
State: optimized geometry

Geometry as POSCAR:
```
VReW
1.0
4.3868 0.0000 0.0000
-2.1934 3.7991 0.0000
0.0000 0.0000 5.3678
W Re V
2 2 2
Direct
0.0000 0.0000 0.4753 W
0.3333 0.6667 0.1326 W
0.6667 0.3333 0.3021 Re
0.3333 0.6667 0.6453 Re
0.6667 0.3333 0.8092 V
0.0000 0.0000 0.9694 V
```

Values from the calculation:
Energy above the most stable polymorph in this dataset, meV per atom: 16.7
SG: No. 156

Material: V7Re3W2
Method: DFT, GGA-PBE
State: optimized geometry

Geometry as POSCAR:
```
V7Re3W2
1.0
-4.1790 0.2523 -0.2919
-0.0079 -3.2802 -2.7223
-0.9547 -4.9912 9.3544
Re V W
3 7 2
Direct
0.5000 0.5000 0.0000 Re
0.5000 0.6470 0.2939 Re
0.5000 0.3530 0.7061 Re
0.0000 0.0000 0.0000 V
0.5000 0.0728 0.1455 V
0.0000 0.5718 0.1437 V
0.0000 0.7154 0.4309 V
0.0000 0.4282 0.8563 V
0.5000 0.9272 0.8545 V
0.0000 0.2846 0.5691 V
0.0000 0.1470 0.2940 W
0.0000 0.8530 0.7060 W
```

Values from the calculation:
SG: No. 65

Material: VReW
Method: DFT, GGA-PBE
State: optimized geometry

Geometry as POSCAR:
```
VReW
1.0
9.3564 0.0000 0.0000
0.0000 4.3856 0.0000
0.0000 0.0000 4.3544
V W Re
4 4 4
Direct
0.1659 0.0000 0.0000 V
0.6659 0.5000 0.0000 V
0.3341 0.5000 0.0000 V
0.8341 0.0000 0.0000 V
0.1680 0.5000 0.5000 W
0.3320 0.0000 0.5000 W
0.8320 0.5000 0.5000 W
0.6680 0.0000 0.5000 W
0.0000 0.0000 0.5000 Re
0.5000 0.5000 0.5000 Re
0.0000 0.5000 0.0000 Re
0.5000 0.0000 0.0000 Re
```

Values from the calculation:
Energy above the most stable polymorph in this dataset, meV per atom: 12.9
SG: No. 65

no.,energy relative to the elements (eV/atom),DFT total energy (eV/cell)
1,0.314,-228.77
2,-0.170,-85.31
3,-0.179,-140.23
4,0.229,-69.39
5,-0.302,-89.19
6,-0.136,-96.03
7,0.316,-118.83
8,0.850,-87.14
9,0.233,-85.92
10,-0.179,-70.11
11,0.234,-124.27
12,-0.183,-140.27